# VGaSn, optimized geometry, DFT GGA-PBE
data_VGaSn
_chemical_formula_sum 'V2 Ga2 Sn2'
_cell_length_a 3.365
_cell_length_b 3.365
_cell_length_c 9.349
_cell_angle_alpha 90.00
_cell_angle_beta 90.00
_cell_angle_gamma 90.00
_symmetry_space_group_name_H-M 'I 4 m m'
_symmetry_Int_Tables_number 107
_symmetry_space_group_name_Hall 'I 4 -2'
loop_
_atom_site_label
_atom_site_fract_x
_atom_site_fract_y
_atom_site_fract_z
_atom_site_occupancy
V1 0.000 0.000 0.000 1
Ga1 0.000 0.000 0.622 1
Sn1 0.000 0.000 0.319 1
# Crystal system: tetragonal
# Distance to the lowest polymorph of the same formula (meV/atom): 173
# Formation enthalpy at 0 K (eV/atom): 0.10
# Magnetic moment (μB/f.u.): 0.00